No. 1
DFT (PBE-GGA) results for a relaxed structure of La3SmY6Ho2.

Unit cell a=6.2645 b=6.2645 c=11.9112 alpha=95.02 beta=95.02 gamma=120.00
Fractional positions:
La1 0.0000 0.0000 0.0000
La2 0.3333 0.6667 0.0000
La3 0.6667 0.3333 0.0000
Sm1 0.5000 0.5000 0.5000
Y1 0.0846 0.4184 0.2548
Y2 0.2478 0.2478 0.7452
Y3 0.4184 0.0846 0.2548
Y4 0.5816 0.9154 0.7452
Y5 0.7522 0.7522 0.2548
Y6 0.9154 0.5816 0.7452
Ho1 0.1668 0.8332 0.5000
Ho2 0.8332 0.1668 0.5000

Calculated values
The space-group type is C2/m (12). The total energy comes out at -67.2 eV per cell. The formation energy is 0.0190 eV/atom.

=====

No. 2
DFT (PBE-GGA) results for a relaxed structure of Ca2NiSb.

Unit cell a=5.0562 b=5.0562 c=5.0562 alpha=60.00 beta=60.00 gamma=60.00
Fractional positions:
Ca1 0.0000 0.0000 0.0000
Ca2 0.2500 0.2500 0.2500
Ni1 0.7500 0.7500 0.7500
Sb1 0.5000 0.5000 0.5000

Calculated values
For the uncorrected formation energy, the calculation gives -0.153 eV/atom. The space-group type is F-43m (216). The total energy comes out at -14.5 eV per cell.

=====

No. 3
DFT (PBE-GGA) results for a relaxed structure of TbDyY2.

Unit cell a=5.6870 b=5.6870 c=5.6870 alpha=60.00 beta=60.00 gamma=60.00
Fractional positions:
Tb1 0.0000 0.0000 0.0000
Dy1 0.5000 0.5000 0.5000
Y1 0.2500 0.2500 0.2500
Y2 0.7500 0.7500 0.7500

Calculated values
The space-group type is Fm-3m (225). The total energy comes out at -21.6 eV per cell. Its distance to the lowest polymorph of the same formula is 127 meV per atom. The formation energy is 0.1361 eV/atom.

=====

No. 4
DFT (PBE-GGA) results for a relaxed structure of Pr8Ga3I4Br.

Unit cell a=9.2306 b=9.2306 c=9.2306 alpha=57.10 beta=57.10 gamma=57.10
Fractional positions:
Pr1 0.2212 0.7422 0.7422
Pr2 0.2351 0.2351 0.2351
Pr3 0.2578 0.2578 0.7788
Pr4 0.2578 0.7788 0.2578
Pr5 0.7422 0.2212 0.7422
Pr6 0.7422 0.7422 0.2212
Pr7 0.7649 0.7649 0.7649
Pr8 0.7788 0.2578 0.2578
Ga1 0.0000 0.0000 0.5000
Ga2 0.0000 0.5000 0.0000
Ga3 0.5000 0.0000 0.0000
I1 0.0000 0.0000 0.0000
I2 0.0000 0.5000 0.5000
I3 0.5000 0.0000 0.5000
I4 0.5000 0.5000 0.0000
Br1 0.5000 0.5000 0.5000

Calculated values
For the uncorrected formation energy, the calculation gives -0.869 eV/atom. The space-group type is R-3m (166). The total energy comes out at -69.1 eV per cell.

=====

Question: Number 3 is which compound?
Answer: TbDyY2